First-principles (PBE with a Hubbard U) data for BaNa2CrO4 after structural relaxation, as listed in the Alexandria database.

Cell lengths 5.8791, 5.8791, 5.4896 Å; angles 122.34, 122.34, 90.06 degrees
With the nearest neighbours (Å) after each atom.
Element x y z (fractional)
Cr1 0.5000 0.5000 0.0001  4 O 1.82
O1 0.8225 0.4607 0.2832  1 Cr 1.82
O2 0.4607 0.8225 0.2832  1 Cr 1.82
Na1 0.7504 0.2504 0.5008  4 O 2.29
O3 0.1772 0.1772 0.7159  1 Cr 1.82
O4 0.5388 0.5388 0.7159  1 Cr 1.82
Ba1 0.0003 0.0003 0.0005  8 O 2.84-2.98
Na2 0.2504 0.7504 0.5008  4 O 2.29

The calculation puts the electronic total energy at -0.217 Ha/atom.